The following is a GGA-PBE calculation of a relaxed structure of La2MgZn3Ag4, from Alexandria via LeMat-Bulk. Values from VASP.

Cell and atoms, written as Quantum ESPRESSO input:
```
&SYSTEM
  ibrav = 0, nat = 10, ntyp = 4
/
ATOMIC_SPECIES
La 138.91 La.upf
Mg 24.30 Mg.upf
Ag 107.87 Ag.upf
Zn 65.41 Zn.upf
ATOMIC_POSITIONS angstrom
La -2.899 1.562 1.422
La -9.042 -1.709 2.057
Mg -6.619 0.976 0.868
Ag 0.000 0.000 0.000
Ag -1.298 2.098 -1.743
Ag -7.228 0.649 3.546
Ag -4.713 -0.796 -0.067
Zn -5.321 -1.123 2.611
Zn -9.564 0.156 4.692
Zn -2.376 -0.303 -1.213
CELL_PARAMETERS angstrom
-0.714 4.197 0.350
-1.881 -0.001 -3.835
-10.643 -2.245 5.222
```

Space group: P-4m2 (115)
Total DFT energy (no corrections): -2.915 eV/atom
E_form: -23.9 kJ per mole of atoms

The following is a GGA-PBE calculation of a relaxed structure of Tb5ErIn, from Alexandria via LeMat-Bulk. Values from VASP.

Cell and atoms, written as Quantum ESPRESSO input:
```
&SYSTEM
  ibrav = 0, nat = 7, ntyp = 3
/
ATOMIC_SPECIES
Er 167.26 Er.upf
Tb 158.93 Tb.upf
In 114.82 In.upf
ATOMIC_POSITIONS angstrom
Er -3.751 -1.611 2.956
Tb -2.194 -1.228 -3.085
Tb -4.173 -5.172 -0.409
Tb -2.208 -1.054 -0.044
Tb 0.170 -3.097 1.010
Tb -4.767 -2.514 -4.088
In -4.583 -2.254 -1.203
CELL_PARAMETERS angstrom
-4.559 -1.958 3.592
-4.066 -2.319 -6.424
6.789 -3.061 1.725
```

Space group: Imm2 (44)
Total DFT energy (no corrections): -3.631 eV/atom
E_form: 69.4 kJ per mole of atoms

The following is a GGA-PBE calculation of a relaxed structure of NaSnPt2, from Alexandria via LeMat-Bulk. Values from VASP.

Cell and atoms, written as Quantum ESPRESSO input:
```
&SYSTEM
  ibrav = 0, nat = 4, ntyp = 3
/
ATOMIC_SPECIES
Sn 118.71 Sn.upf
Pt 195.08 Pt.upf
Na 22.99 Na.upf
ATOMIC_POSITIONS angstrom
Sn 0.436 -1.910 1.085
Pt -1.550 -0.073 0.495
Pt -5.749 -0.270 1.835
Na -3.213 -2.081 2.250
CELL_PARAMETERS angstrom
-0.095 -3.075 -0.752
0.968 -0.745 2.922
-7.299 -0.343 2.329
```

Space group: P4/mmm (123)
Total DFT energy (no corrections): -4.599 eV/atom
E_form: -24.0 kJ per mole of atoms

The following is a GGA-PBE calculation of a relaxed structure of Mg2TaCdCu, from Alexandria via LeMat-Bulk. Values from VASP.

Cell and atoms, written as Quantum ESPRESSO input:
```
&SYSTEM
  ibrav = 0, nat = 5, ntyp = 4
/
ATOMIC_SPECIES
Ta 180.95 Ta.upf
Mg 24.30 Mg.upf
Cu 63.55 Cu.upf
Cd 112.41 Cd.upf
ATOMIC_POSITIONS angstrom
Ta 2.322 2.384 2.322
Mg 0.000 0.000 2.322
Mg 2.322 0.000 0.000
Cu 0.000 0.000 0.000
Cd 0.000 2.384 0.000
CELL_PARAMETERS angstrom
4.643 0.000 0.000
0.000 4.768 0.000
0.000 0.000 4.643
```

Space group: P4/mmm (123)
Total DFT energy (no corrections): -3.190 eV/atom
E_form: 79.2 kJ per mole of atoms

The following is a GGA-PBE calculation of a relaxed structure of CrFeAg2, from Alexandria via LeMat-Bulk. Values from VASP.

Cell and atoms, written as Quantum ESPRESSO input:
```
&SYSTEM
  ibrav = 0, nat = 4, ntyp = 3
/
ATOMIC_SPECIES
Ag 107.87 Ag.upf
Fe 55.84 Fe.upf
Cr 52.00 Cr.upf
ATOMIC_POSITIONS angstrom
Ag 0.681 -0.053 2.570
Ag 2.042 -0.159 7.709
Fe 1.361 -0.106 5.139
Cr 0.000 0.000 0.000
CELL_PARAMETERS angstrom
1.778 2.273 3.244
-1.486 -0.473 4.052
2.430 -2.012 2.983
```

Space group: Fm-3m (225)
Total DFT energy (no corrections): -4.939 eV/atom
E_form: 97.2 kJ per mole of atoms
Distance to the lowest polymorph of the same formula: 15.69 kcal/mol of atoms

The following is a GGA-PBE calculation of a relaxed structure of BaSi2Mo, from Alexandria via LeMat-Bulk. Values from VASP.

Cell and atoms, written as Quantum ESPRESSO input:
```
&SYSTEM
  ibrav = 0, nat = 4, ntyp = 3
/
ATOMIC_SPECIES
Si 28.09 Si.upf
Ba 137.33 Ba.upf
Mo 95.94 Mo.upf
ATOMIC_POSITIONS angstrom
Si -4.749 -0.141 2.605
Si -5.747 0.038 4.871
Ba -2.413 1.554 0.830
Mo -6.922 1.369 2.889
CELL_PARAMETERS angstrom
-0.317 3.292 -0.400
-3.031 -0.450 -1.297
-5.987 0.081 5.416
```

Space group: P4/mmm (123)
Total DFT energy (no corrections): -5.998 eV/atom
Energy relative to the elements, uncorrected: -98 meV per atom
Distance to the lowest polymorph of the same formula: 0.89 kcal/mol of atoms

total DFT energy (no corrections) of number 1 (La2MgZn3Ag4)? -2.915 eV/atom

Look up the total DFT energy (no corrections) of the fifth one. -4.939 eV/atom

Which of these has the lowest total DFT energy (no corrections)? BaSi2Mo